1.
This record from Alexandria via LeMat-Bulk describes a geometry-optimized NdSm2Dy4Ho structure. The functional is PBE-GGA.

Cell: 9.5221 9.5221 6.8256 Å, 111.00 111.00 88.42°
Atoms (fractional coordinates):
Nd: 0.0000 0.5000 0.0000
Nd: 0.5000 0.0000 0.5000
Sm: 0.0000 0.0000 0.0000
Sm: 0.0000 0.0000 0.5000
Sm: 0.0000 0.5000 0.5000
Sm: 0.5000 0.0000 0.0000
Dy: 0.2531 0.2526 0.0047
Dy: 0.2526 0.2531 0.5047
Dy: 0.2530 0.7469 0.5006
Dy: 0.2531 0.7470 0.9994
Dy: 0.7469 0.2530 0.0006
Dy: 0.7470 0.2531 0.4994
Dy: 0.7474 0.7469 0.4953
Dy: 0.7469 0.7474 0.9953
Ho: 0.5000 0.5000 0.0000
Ho: 0.5000 0.5000 0.5000

Results
The formation energy comes out at 3.37 eV per formula unit. As for the total energy: -4.228 eV per atom.

---

2.
This record from Alexandria via LeMat-Bulk describes a geometry-optimized FeCoOs2 structure. The functional is PBE-GGA.

Cell: 4.4897 2.6536 4.6077 Å, 90.00 110.04 90.00°
Atoms (fractional coordinates):
Fe: 0.0000 0.0000 0.0000
Co: 0.0000 0.5000 0.5000
Os: 0.5000 0.0000 0.5000
Os: 0.5000 0.5000 0.0000

Results
The formation energy comes out at 0.66 eV per formula unit. For the distance to the lowest polymorph of the same formula, the calculation gives 57 meV per atom. As for the total energy: -9.342 eV per atom.

---

3.
This record from Alexandria via LeMat-Bulk describes a geometry-optimized Pm5Nd3 structure. The functional is PBE-GGA.

Cell: 5.1724 5.1755 10.3518 Å, 90.00 90.00 90.00°
Atoms (fractional coordinates):
Pm: 0.0000 0.0000 0.0000
Pm: 0.0000 0.0000 0.5000
Pm: 0.0000 0.5000 0.2496
Pm: 0.0000 0.5000 0.7504
Pm: 0.5000 0.5000 0.0000
Nd: 0.5000 0.0000 0.2494
Nd: 0.5000 0.0000 0.7506
Nd: 0.5000 0.5000 0.5000

Results
The formation energy comes out at 0.11 eV per formula unit. As for the total energy: -4.743 eV per atom.

---

Copy entry 3 word for word.
This record from Alexandria via LeMat-Bulk describes a geometry-optimized Pm5Nd3 structure. The functional is PBE-GGA.

Cell: 5.1724 5.1755 10.3518 Å, 90.00 90.00 90.00°
Atoms (fractional coordinates):
Pm: 0.0000 0.0000 0.0000
Pm: 0.0000 0.0000 0.5000
Pm: 0.0000 0.5000 0.2496
Pm: 0.0000 0.5000 0.7504
Pm: 0.5000 0.5000 0.0000
Nd: 0.5000 0.0000 0.2494
Nd: 0.5000 0.0000 0.7506
Nd: 0.5000 0.5000 0.5000

Results
The formation energy comes out at 0.11 eV per formula unit. As for the total energy: -4.743 eV per atom.

---

What did the first record say?
This record from Alexandria via LeMat-Bulk describes a geometry-optimized NdSm2Dy4Ho structure. The functional is PBE-GGA.

Cell: 9.5221 9.5221 6.8256 Å, 111.00 111.00 88.42°
Atoms (fractional coordinates):
Nd: 0.0000 0.5000 0.0000
Nd: 0.5000 0.0000 0.5000
Sm: 0.0000 0.0000 0.0000
Sm: 0.0000 0.0000 0.5000
Sm: 0.0000 0.5000 0.5000
Sm: 0.5000 0.0000 0.0000
Dy: 0.2531 0.2526 0.0047
Dy: 0.2526 0.2531 0.5047
Dy: 0.2530 0.7469 0.5006
Dy: 0.2531 0.7470 0.9994
Dy: 0.7469 0.2530 0.0006
Dy: 0.7470 0.2531 0.4994
Dy: 0.7474 0.7469 0.4953
Dy: 0.7469 0.7474 0.9953
Ho: 0.5000 0.5000 0.0000
Ho: 0.5000 0.5000 0.5000

Results
The formation energy comes out at 3.37 eV per formula unit. As for the total energy: -4.228 eV per atom.